No. 1
Below is RbThAuS3 after structural relaxation, with properties calculated at the PBE-GGA level.

abc: 7.7149 7.7149 10.6339
angles: 90.00 90.00 148.53
Sites, in units of the cell vectors:
S 0.8771 0.1229 0.4534
S 0.8771 0.1229 0.0466
S 0.1229 0.8771 0.9534
S 0.4345 0.5655 0.7500
S 0.5655 0.4345 0.2500
S 0.1229 0.8771 0.5466
Rb 0.7541 0.2459 0.7500
Rb 0.2459 0.7541 0.2500
Th 0.5000 0.5000 0.0000
Th 0.5000 0.5000 0.5000
Au 0.9588 0.0412 0.2500
Au 0.0412 0.9588 0.7500

Output
raw total energy = -5.39 eV/atom
volume = 27.5 A^3/atom
symmetry = No. 63

No. 2
Below is RbTlAu2S2 after structural relaxation, with properties calculated at the PBE-GGA level.

abc: 6.8170 5.2375 5.2375
angles: 78.15 90.00 90.00
Sites, in units of the cell vectors:
S 0.0000 0.8127 0.8127
S 0.5000 0.2053 0.2053
Rb 0.5000 0.6213 0.6213
Tl 0.0000 0.3367 0.3367
Au 0.7530 0.0120 0.0120
Au 0.2470 0.0120 0.0120

Output
raw total energy = -3.54 eV/atom
volume = 30.5 A^3/atom
symmetry = No. 38

No. 3
Below is RbUAuS3 after structural relaxation, with properties calculated at the PBE-GGA level.

abc: 7.7006 7.7006 10.3916
angles: 90.00 90.00 149.19
Each line ends with the local moment (μB).
Sites, in units of the cell vectors:
Rb 0.2390 0.7610 0.2500  0.00
Rb 0.7610 0.2390 0.7500  0.00
S 0.4419 0.5581 0.7500  -0.06
S 0.1208 0.8792 0.9634  -0.05
S 0.8792 0.1208 0.0366  -0.05
S 0.1208 0.8792 0.5366  -0.05
S 0.8792 0.1208 0.4634  -0.05
S 0.5581 0.4419 0.2500  -0.06
U 0.5000 0.5000 0.0000  2.08
U 0.5000 0.5000 0.5000  2.08
Au 0.9448 0.0552 0.2500  -0.02
Au 0.0552 0.9448 0.7500  -0.02

Output
raw total energy = -5.74 eV/atom
volume = 26.3 A^3/atom
symmetry = No. 63

No. 4
Below is Rb2ZrAu2S4 after structural relaxation, with properties calculated at the PBE-GGA level.

abc: 7.4197 7.4197 6.0451
angles: 90.00 90.00 131.82
Sites, in units of the cell vectors:
Zr 0.0000 0.0000 0.0000
S 0.3380 0.1250 0.7687
S 0.8750 0.6620 0.2313
S 0.1250 0.3380 0.2313
S 0.6620 0.8750 0.7687
Au 0.0000 0.0000 0.5000
Au 0.5000 0.5000 0.0000
Rb 0.5000 0.0000 0.2613
Rb 0.0000 0.5000 0.7387

Output
raw total energy = -4.68 eV/atom
volume = 27.6 A^3/atom
symmetry = No. 21

No. 5
Below is RbZrAuS3 after structural relaxation, with properties calculated at the PBE-GGA level.

abc: 7.8128 7.8128 10.0614
angles: 90.00 90.00 151.43
Sites, in units of the cell vectors:
Rb 0.7443 0.2557 0.7500
Rb 0.2557 0.7443 0.2500
Au 0.5527 0.4473 0.2500
Au 0.4473 0.5527 0.7500
S 0.0622 0.9378 0.7500
S 0.9378 0.0622 0.2500
S 0.6174 0.3826 0.0306
S 0.3826 0.6174 0.5306
S 0.6174 0.3826 0.4694
S 0.3826 0.6174 0.9694
Zr 0.0000 0.0000 0.0000
Zr 0.0000 0.0000 0.5000

Output
raw total energy = -5.28 eV/atom
volume = 24.5 A^3/atom
symmetry = No. 63

No. 6
Below is RbZrAuS3 after structural relaxation, with properties calculated at the PBE-GGA level.

abc: 11.2329 3.8697 13.8936
angles: 90.00 90.00 90.00
Sites, in units of the cell vectors:
S 0.4903 0.0000 0.1054
S 0.5097 0.5000 0.8946
S 0.7179 0.5000 0.5251
S 0.2821 0.0000 0.4749
S 0.7413 0.0000 0.3066
S 0.2179 0.0000 0.9749
S 0.0097 0.0000 0.6054
S 0.9903 0.5000 0.3946
S 0.2413 0.5000 0.1934
S 0.7821 0.5000 0.0251
S 0.2587 0.5000 0.6934
S 0.7587 0.0000 0.8066
Rb 0.0004 0.0000 0.1585
Rb 0.9996 0.5000 0.8415
Rb 0.5004 0.5000 0.3415
Rb 0.4996 0.0000 0.6585
Au 0.2492 0.0000 0.3060
Au 0.7508 0.5000 0.6940
Au 0.7492 0.5000 0.1940
Au 0.2508 0.0000 0.8060
Zr 0.6435 0.0000 0.9601
Zr 0.1435 0.5000 0.5399
Zr 0.8565 0.0000 0.4601
Zr 0.3565 0.5000 0.0399

Output
raw total energy = -5.26 eV/atom
volume = 25.2 A^3/atom
symmetry = No. 62

No. 7
Below is RbSb5Au3 after structural relaxation, with properties calculated at the PBE-GGA level.

abc: 5.9121 5.9121 8.3770
angles: 90.00 90.00 120.00
Sites, in units of the cell vectors:
Sb 0.6667 0.3333 0.2106
Sb 0.0000 0.0000 0.5000
Sb 0.3333 0.6667 0.2106
Sb 0.6667 0.3333 0.7894
Sb 0.3333 0.6667 0.7894
Au 0.5000 0.5000 0.5000
Au 0.5000 0.0000 0.5000
Au 0.0000 0.5000 0.5000
Rb 0.0000 0.0000 0.0000

Output
raw total energy = -3.42 eV/atom
volume = 28.2 A^3/atom
symmetry = No. 191

No. 8
Below is RbSbAu2 after structural relaxation, with properties calculated at the PBE-GGA level.

abc: 12.1810 6.9165 6.1052
angles: 90.00 90.00 90.00
Sites, in units of the cell vectors:
Au 0.2370 0.0365 0.9635
Au 0.7630 0.9635 0.0365
Au 0.7630 0.5365 0.0365
Au 0.2370 0.4635 0.9635
Au 0.7370 0.4635 0.5365
Au 0.2630 0.9635 0.4635
Au 0.2630 0.5365 0.4635
Au 0.7370 0.0365 0.5365
Rb 0.4754 0.7500 0.8031
Rb 0.9754 0.7500 0.6969
Rb 0.0246 0.2500 0.3031
Rb 0.5246 0.2500 0.1969
Sb 0.8623 0.2500 0.8168
Sb 0.3623 0.2500 0.6832
Sb 0.1377 0.7500 0.1832
Sb 0.6377 0.7500 0.3168

Output
raw total energy = -3.25 eV/atom
volume = 32.1 A^3/atom
symmetry = No. 62

No. 9
Below is RbTl3Sb2Au2 after structural relaxation, with properties calculated at the PBE-GGA level.

abc: 6.2201 6.6873 6.6257
angles: 90.00 112.93 90.00
Sites, in units of the cell vectors:
Au 0.9729 0.7368 0.0103
Au 0.9729 0.2632 0.0103
Rb 0.4916 0.0000 0.1113
Sb 0.2851 0.5000 0.3161
Sb 0.7423 0.0000 0.6956
Tl 0.1484 0.0000 0.4563
Tl 0.5065 0.5000 0.8580
Tl 0.8802 0.5000 0.5421

Output
raw total energy = -3.02 eV/atom
volume = 31.7 A^3/atom
symmetry = No. 6

No. 10
Below is RbTlSbAu after structural relaxation, with properties calculated at the PBE-GGA level.

abc: 6.5613 6.6605 6.6605
angles: 110.49 90.00 90.00
Sites, in units of the cell vectors:
Rb 0.5000 0.5030 0.1494
Rb 0.5000 0.1494 0.5030
Au 0.7639 0.9897 0.9897
Au 0.2361 0.9897 0.9897
Sb 0.0000 0.2822 0.2822
Sb 0.5000 0.7211 0.7211
Tl 0.0000 0.5214 0.8434
Tl 0.0000 0.8434 0.5214

Output
raw total energy = -2.94 eV/atom
volume = 34.1 A^3/atom
symmetry = No. 38

No. 11
Below is RbScAu after structural relaxation, with properties calculated at the PBE-GGA level.

abc: 5.1521 5.1521 5.1521
angles: 60.00 60.00 60.00
Sites, in units of the cell vectors:
Au 0.0000 0.0000 0.0000
Sc 0.7500 0.7500 0.7500
Rb 0.2500 0.2500 0.2500

Output
raw total energy = -3.17 eV/atom
volume = 32.2 A^3/atom
symmetry = No. 216
ΔE to the lowest computed polymorph = 0.0 kJ per mole of atoms

No. 12
Below is RbScAu after structural relaxation, with properties calculated at the PBE-GGA level.

abc: 5.1434 5.1434 5.1434
angles: 60.00 60.00 60.00
Sites, in units of the cell vectors:
Au 0.2500 0.2500 0.2500
Rb 0.0000 0.0000 0.0000
Sc 0.7500 0.7500 0.7500

Output
raw total energy = -2.58 eV/atom
volume = 32.1 A^3/atom
symmetry = No. 216
ΔE to the lowest computed polymorph = 57.0 kJ per mole of atoms

No. 13
Below is RbScTe3Au after structural relaxation, with properties calculated at the PBE-GGA level.

abc: 16.7744 4.1579 11.1773
angles: 90.00 90.00 90.00
Sites, in units of the cell vectors:
Rb 0.7306 0.2500 0.4545
Rb 0.7694 0.7500 0.9545
Rb 0.2306 0.2500 0.0455
Rb 0.2694 0.7500 0.5455
Sc 0.0185 0.2500 0.3390
Sc 0.5185 0.2500 0.1610
Sc 0.4815 0.7500 0.8390
Sc 0.9815 0.7500 0.6610
Te 0.4083 0.2500 0.3635
Te 0.9068 0.7500 0.4237
Te 0.4068 0.7500 0.0763
Te 0.0917 0.7500 0.8635
Te 0.9083 0.2500 0.1365
Te 0.1327 0.7500 0.2716
Te 0.8673 0.2500 0.7284
Te 0.5917 0.7500 0.6365
Te 0.3673 0.2500 0.7716
Te 0.0932 0.2500 0.5763
Te 0.5932 0.2500 0.9237
Te 0.6327 0.7500 0.2284
Au 0.9815 0.2500 0.9041
Au 0.0185 0.7500 0.0959
Au 0.4815 0.2500 0.5959
Au 0.5185 0.7500 0.4041

Output
raw total energy = -4.16 eV/atom
volume = 32.5 A^3/atom
symmetry = No. 62

No. 14
Below is RbScTe3Au after structural relaxation, with properties calculated at the PBE-GGA level.

abc: 8.6320 8.6320 11.0356
angles: 90.00 90.00 152.52
Sites, in units of the cell vectors:
Sc 0.0000 0.0000 0.5000
Sc 0.0000 0.0000 0.0000
Rb 0.2398 0.7602 0.2500
Rb 0.7602 0.2398 0.7500
Te 0.3764 0.6236 0.9628
Te 0.6236 0.3764 0.4628
Te 0.6236 0.3764 0.0372
Te 0.0719 0.9281 0.7500
Te 0.9281 0.0719 0.2500
Te 0.3764 0.6236 0.5372
Au 0.4591 0.5409 0.7500
Au 0.5409 0.4591 0.2500

Output
raw total energy = -4.16 eV/atom
volume = 31.6 A^3/atom
symmetry = No. 63

No. 15
Below is RbAuSe2 after structural relaxation, with properties calculated at the PBE-GGA level.

abc: 6.6305 6.6305 5.7984
angles: 102.27 102.27 104.11
Sites, in units of the cell vectors:
Rb 0.6353 0.3647 0.7500
Rb 0.3647 0.6353 0.2500
Se 0.6110 0.9036 0.8964
Se 0.0964 0.3890 0.6036
Se 0.9036 0.6110 0.3964
Se 0.3890 0.0964 0.1036
Au 0.0677 0.9323 0.7500
Au 0.9323 0.0677 0.2500

Output
raw total energy = -3.27 eV/atom
volume = 29.0 A^3/atom
symmetry = No. 15

No. 16
Below is RbAu3Se2 after structural relaxation, with properties calculated at the PBE-GGA level.

abc: 6.2627 6.2627 5.3804
angles: 90.00 90.00 120.00
Sites, in units of the cell vectors:
Se 0.3333 0.6667 0.3157
Se 0.6667 0.3333 0.6843
Au 0.0000 0.5000 0.0000
Au 0.5000 0.0000 0.0000
Au 0.5000 0.5000 0.0000
Rb 0.0000 0.0000 0.5000

Output
raw total energy = -3.41 eV/atom
volume = 30.5 A^3/atom
symmetry = No. 164

No. 17
Below is Rb2AuSe2 after structural relaxation, with properties calculated at the PBE-GGA level.

abc: 4.0157 6.4590 6.9538
angles: 78.14 90.10 108.10
Sites, in units of the cell vectors:
Au 0.5000 0.0000 0.0000
Rb 0.8392 0.6802 0.7193
Rb 0.1608 0.3198 0.2807
Se 0.8929 0.7847 0.2064
Se 0.1071 0.2153 0.7936

Output
raw total energy = -3.15 eV/atom
volume = 33.5 A^3/atom
symmetry = No. 2

No. 18
Below is RbSiTeAuSe2 after structural relaxation, with properties calculated at the PBE-GGA level.

abc: 8.9123 8.9123 10.8374
angles: 90.00 90.00 156.50
Sites, in units of the cell vectors:
Se 0.3959 0.6041 0.0231
Se 0.6041 0.3959 0.5231
Se 0.6041 0.3959 0.9769
Se 0.3959 0.6041 0.4769
Te 0.0447 0.9553 0.2500
Te 0.9553 0.0447 0.7500
Au 0.6069 0.3931 0.7500
Au 0.3931 0.6069 0.2500
Rb 0.2728 0.7272 0.7500
Rb 0.7272 0.2728 0.2500
Si 0.0000 0.0000 0.0000
Si 0.0000 0.0000 0.5000

Output
raw total energy = -3.62 eV/atom
volume = 28.6 A^3/atom
symmetry = No. 63

No. 19
Below is RbSmAuSe3 after structural relaxation, with properties calculated at the PBE-GGA level.

abc: 8.0992 8.0992 10.8469
angles: 90.00 90.00 150.33
Sites, in units of the cell vectors:
Se 0.0725 0.9275 0.2500
Se 0.6285 0.3715 0.9469
Se 0.3715 0.6285 0.4469
Se 0.3715 0.6285 0.0531
Se 0.9275 0.0725 0.7500
Se 0.6285 0.3715 0.5531
Au 0.4660 0.5340 0.2500
Au 0.5340 0.4660 0.7500
Rb 0.2491 0.7509 0.7500
Rb 0.7509 0.2491 0.2500
Sm 0.0000 0.0000 0.0000
Sm 0.0000 0.0000 0.5000

Output
raw total energy = -4.35 eV/atom
volume = 29.4 A^3/atom
symmetry = No. 63

No. 20
Below is RbSnAuSe3 after structural relaxation, with properties calculated at the PBE-GGA level.

abc: 8.6681 8.6681 10.7069
angles: 90.00 90.00 26.76
Sites, in units of the cell vectors:
Se 0.3842 0.3842 0.0233
Se 0.6158 0.6158 0.9767
Se 0.9511 0.9511 0.7500
Se 0.6158 0.6158 0.5233
Se 0.3842 0.3842 0.4767
Se 0.0489 0.0489 0.2500
Rb 0.7205 0.7205 0.2500
Rb 0.2795 0.2795 0.7500
Au 0.3866 0.3866 0.2500
Au 0.6134 0.6134 0.7500
Sn 0.0000 0.0000 0.0000
Sn 0.0000 0.0000 0.5000

Output
raw total energy = -3.58 eV/atom
volume = 30.2 A^3/atom
symmetry = No. 63
ΔE to the lowest computed polymorph = 4.1 kJ per mole of atoms